ZnReCl | PBE | optimized geometry

Values from the calculation:
total magnetic moment = 0.0 μB per formula unit
E_form (uncorrected) = 232 kJ/mol of formula units

a = 4.4038 Å, b = 4.4038 Å, c = 2.7653 Å
α = 90.00°, β = 90.00°, γ = 120.00°
Last column: nearest neighbours and their distance in Å.
Atoms (fractional coordinates):
Cl  0.0000  0.0000  0.1666  3 Re 2.54, 2 Cl 2.77
Re  0.6667  0.3333  0.1668  3 Cl 2.54, 2 Re 2.77
Zn  0.3333  0.6667  0.6665  2 Zn 2.77, 6 Re 2.89, 6 Cl 2.89